# 1
A plane-wave DFT calculation with PBE was carried out for a relaxed SrCaC3 crystal.

Lattice parameters (Å, degrees): 4.5387 4.5387 4.5387 90.00 90.00 90.00
Last column: nearest neighbours and their distance in Å.
Space group Pm-3m (No. 221)
Inequivalent atoms, fractional coordinates:
Sr 0.0000 0.0000 0.0000 (multiplicity 1)  12 C 3.21
Ca 0.5000 0.5000 0.5000 (multiplicity 1)  6 C 2.27
C 0.0000 0.5000 0.5000 (multiplicity 3)  2 Ca 2.27

Calculated values
DFT formation energy: 2.296 eV per atom
spin magnetization: 0.0 μB/f.u.
energy above the lowest structure with this stoichiometry: 0 meV per atom

# 2
A plane-wave DFT calculation with PBE was carried out for a relaxed K2OsRu crystal.

Lattice parameters (Å, degrees): 2.8640 4.7438 11.5598 90.00 90.00 90.00
Last column: nearest neighbours and their distance in Å.
Space group Cmmm (No. 65)
Inequivalent atoms, fractional coordinates:
K 0.0000 0.0000 0.2494 (multiplicity 4)  6 K 2.77-2.86
Os 0.0000 0.5000 0.5000 (multiplicity 2)  6 Os 2.77-2.86
Ru 0.0000 0.5000 0.0000 (multiplicity 2)  6 Ru 2.77-2.86

Calculated values
DFT formation energy: 1.302 eV per atom
spin magnetization: 0.5 μB/f.u.
energy above the lowest structure with this stoichiometry: 605 meV per atom

# 3
A plane-wave DFT calculation with PBE was carried out for a relaxed Mg3ZnCu8 crystal.

Lattice parameters (Å, degrees): 4.9787 4.9787 23.8874 90.00 90.00 120.00
Last column: nearest neighbours and their distance in Å.
Space group R3m (No. 160, hexagonal axes)
Inequivalent atoms, fractional coordinates:
Mg 0.0000 0.0000 0.0000 (multiplicity 3)  12 Cu 2.89-2.92, 4 Mg 3.04-3.07
Mg 0.0000 0.0000 0.1273 (multiplicity 3)  12 Cu 2.81-2.93, 3 Zn 3.01, 1 Mg 3.04
Mg 0.0000 0.0000 0.6214 (multiplicity 3)  12 Cu 2.87-2.95, 1 Zn 2.94, 3 Mg 3.07
Zn 0.0000 0.0000 0.4984 (multiplicity 3)  12 Cu 2.84-2.91, 4 Mg 2.94-3.01
Cu 0.0000 0.0000 0.3122 (multiplicity 3)  6 Cu 2.46
Cu 0.0000 0.0000 0.8123 (multiplicity 3)  6 Cu 2.45
Cu 0.0004 0.5002 0.0628 (multiplicity 9)  6 Cu 2.45-2.49
Cu 0.0002 0.5001 0.5618 (multiplicity 9)  6 Cu 2.45-2.49

Calculated values
DFT formation energy: -0.106 eV per atom
spin magnetization: 0.0 μB/f.u.

# 4
A plane-wave DFT calculation with PBE was carried out for a relaxed Be2CrCu crystal.

Lattice parameters (Å, degrees): 2.4410 2.4410 23.9234 90.00 90.00 120.00
Last column: nearest neighbours and their distance in Å.
Space group R3m (No. 160, hexagonal axes)
Inequivalent atoms, fractional coordinates:
Be 0.0000 0.0000 0.0000 (multiplicity 3)  9 Be 2.33-2.44, 3 Cr 2.43
Be 0.0000 0.0000 0.2557 (multiplicity 3)  9 Be 2.33-2.44, 3 Cu 2.38
Cr 0.0000 0.0000 0.7493 (multiplicity 3)  3 Be 2.43, 6 Cr 2.44, 3 Cu 2.63
Cu 0.0000 0.0000 0.5088 (multiplicity 3)  3 Be 2.38, 6 Cu 2.44, 3 Cr 2.63

Calculated values
DFT formation energy: 0.209 eV per atom
spin magnetization: 0.1 μB/f.u.

# 5
A plane-wave DFT calculation with PBE was carried out for a relaxed Pr2Sb4Pt3Rh crystal.

Lattice parameters (Å, degrees): 4.6215 4.6215 10.7189 90.00 90.00 90.00
Last column: nearest neighbours and their distance in Å.
Space group P-4m2 (No. 115)
Inequivalent atoms, fractional coordinates:
Pr 0.0000 0.5000 0.2339 (multiplicity 2)  2 Rh 3.41, 6 Pt 3.41-3.58, 8 Sb 3.47-3.67
Sb 0.0000 0.0000 0.5000 (multiplicity 1)  4 Pt 2.70
Sb 0.0000 0.5000 0.8737 (multiplicity 2)  3 Pt 2.61-2.68, 2 Rh 2.68
Sb 0.5000 0.5000 0.5000 (multiplicity 1)  4 Pt 2.70
Pt 0.0000 0.0000 0.0000 (multiplicity 1)  4 Sb 2.68
Pt 0.0000 0.5000 0.6305 (multiplicity 2)  5 Sb 2.61-2.70
Rh 0.5000 0.5000 0.0000 (multiplicity 1)  4 Sb 2.68

Calculated values
uncorrected formation energy: -0.819 eV per atom
spin magnetization: 0.0 μB/f.u.

# 6
A plane-wave DFT calculation with PBE was carried out for a relaxed MnBiSe2 crystal.

Lattice parameters (Å, degrees): 8.9689 3.7786 13.9063 90.00 118.51 90.00
Last column: nearest neighbours and their distance in Å.
Space group P2_1/c (No. 14)
Inequivalent atoms, fractional coordinates:
Mn 0.1613 0.2229 0.2428 (multiplicity 4)  5 Se 2.53-2.68
Bi 0.2845 0.5677 0.1079 (multiplicity 4)  1 Mn 2.90, 4 Se 2.91-3.08
Se 0.0405 0.2207 0.3787 (multiplicity 4)  3 Mn 2.59-2.61
Se 0.3849 0.7498 0.3342 (multiplicity 4)  2 Mn 2.53-2.68

Calculated values
uncorrected formation energy: -0.272 eV per atom
spin magnetization: 4.0 μB/f.u.